A relaxed Ca5AgPt2 crystal, computed with PBE.

Summary:
E_tot   -60.7 eV for the cell shown
Magnetization   0.00 μB/f.u.
DFT formation energy   -0.68 eV per atom

a b c (Å): 7.8199 7.8199 9.0491
angles (deg): 115.60 115.60 90.00
Positions (direct):
Pt 0.6302 0.1302 0.0000
Pt 0.8698 0.6302 0.0000
Pt 0.1302 0.3698 0.0000
Pt 0.3698 0.8698 0.0000
Ag 0.2500 0.2500 0.5000
Ag 0.7500 0.7500 0.5000
Ca 0.1985 0.0322 0.7307
Ca 0.0322 0.5322 0.7307
Ca 0.0000 0.0000 0.0000
Ca 0.3015 0.8015 0.2693
Ca 0.4678 0.3015 0.2693
Ca 0.8015 0.9678 0.2693
Ca 0.5322 0.6985 0.7307
Ca 0.5000 0.5000 0.0000
Ca 0.6985 0.1985 0.7307
Ca 0.9678 0.4678 0.2693